# Ac3AgN

Ac3AgN after structural relaxation (PBE, the Alexandria database).

Summary:
SG: Pm-3m
DOS(E_F): 4.29 states/eV per cell
E_form (uncorrected): -2.268 eV/f.u.

Lattice parameters (Å, degrees): 5.3281 5.3281 5.3281 90.00 90.00 90.00
Last column: nearest neighbours and their distance in Å.
Atoms (fractional coordinates):
Ac 0.0000 0.0000 0.5000  2 N 2.66
Ac 0.0000 0.5000 0.0000  2 N 2.66
Ac 0.5000 0.0000 0.0000  2 N 2.66
Ag 0.5000 0.5000 0.5000  12 Ac 3.77
N 0.0000 0.0000 0.0000  6 Ac 2.66

=====

# Ac8TlRh2

Ac8TlRh2 after structural relaxation (PBE, the Alexandria database).

Summary:
SG: C2/m
ΔE_f: -250 meV/atom
DOS(E_F): 14.05 states/eV per cell

Lattice parameters (Å, degrees): 8.2340 8.2340 6.9787 91.86 91.86 66.46
Last column: nearest neighbours and their distance in Å.
Atoms (fractional coordinates):
Ac 0.0747 0.6351 0.3224  2 Rh 3.00-3.02
Ac 0.1131 0.1131 0.1853  1 Rh 3.01
Ac 0.3649 0.9253 0.6776  2 Rh 3.00-3.02
Ac 0.3680 0.3680 0.8966  1 Rh 3.09, 1 Tl 3.37
Ac 0.6320 0.6320 0.1034  1 Rh 3.09, 1 Tl 3.37
Ac 0.6351 0.0747 0.3224  2 Rh 3.00-3.02
Ac 0.8869 0.8869 0.8147  1 Rh 3.01
Ac 0.9253 0.3649 0.6776  2 Rh 3.00-3.02
Tl 0.5000 0.5000 0.5000  2 Rh 3.09, 6 Ac 3.37-3.43
Rh 0.2754 0.2754 0.4866  6 Ac 3.00-3.09, 1 Tl 3.09
Rh 0.7246 0.7246 0.5134  6 Ac 3.00-3.09, 1 Tl 3.09

=====

# Sc3TaN

Sc3TaN after structural relaxation (PBE, the Alexandria database).

Summary:
SG: Pm-3m
DOS(E_F): 5.66 states/eV per cell
E_form (uncorrected): -2.309 eV/f.u.

Lattice parameters (Å, degrees): 4.4654 4.4654 4.4654 90.00 90.00 90.00
Last column: nearest neighbours and their distance in Å.
Atoms (fractional coordinates):
Sc 0.0000 0.0000 0.5000  2 N 2.23
Sc 0.0000 0.5000 0.0000  2 N 2.23
Sc 0.5000 0.0000 0.0000  2 N 2.23
Ta 0.5000 0.5000 0.5000  12 Sc 3.16
N 0.0000 0.0000 0.0000  6 Sc 2.23

=====

# Tb2Pm5Sm12

Tb2Pm5Sm12 after structural relaxation (PBE, the Alexandria database).

Summary:
SG: C2/m
ΔE_f: 170 meV/atom
DOS(E_F): 31.60 states/eV per cell

Lattice parameters (Å, degrees): 9.9649 9.9649 10.5015 109.79 109.79 42.14
Last column: nearest neighbours and their distance in Å.
Atoms (fractional coordinates):
Tb 0.2227 0.7773 0.0000  2 Sm 3.14, 1 Tb 3.19
Tb 0.7773 0.2227 0.0000  2 Sm 3.14, 1 Tb 3.19
Pm 0.1760 0.1760 0.2096  2 Tb 3.59, 2 Pm 3.60, 9 Sm 3.72-3.93
Pm 0.3136 0.3136 0.8151  5 Sm 3.29-3.64, 2 Pm 3.60
Pm 0.5000 0.5000 0.5000  2 Sm 2.89
Pm 0.6864 0.6864 0.1849  5 Sm 3.29-3.64, 2 Pm 3.60
Pm 0.8240 0.8240 0.7904  2 Tb 3.59, 2 Pm 3.60, 9 Sm 3.72-3.93
Sm 0.0005 0.0005 0.3226  7 Sm 3.44-3.74, 2 Tb 3.74
Sm 0.0829 0.5862 0.4785  6 Sm 3.34-3.68, 2 Pm 3.50-3.72
Sm 0.0928 0.5880 0.1317  6 Sm 3.44-3.68, 2 Pm 3.60-3.64, 1 Tb 3.71
Sm 0.4120 0.9072 0.8683  6 Sm 3.44-3.68, 2 Pm 3.60-3.64, 1 Tb 3.71
Sm 0.4138 0.9171 0.5215  6 Sm 3.34-3.68, 2 Pm 3.50-3.72
Sm 0.4754 0.4754 0.7559  1 Pm 2.89, 2 Tb 3.14
Sm 0.5246 0.5246 0.2441  1 Pm 2.89, 2 Tb 3.14
Sm 0.5862 0.0829 0.4785  6 Sm 3.34-3.68, 2 Pm 3.50-3.72
Sm 0.5880 0.0928 0.1317  6 Sm 3.44-3.68, 2 Pm 3.60-3.64, 1 Tb 3.71
Sm 0.9072 0.4120 0.8683  6 Sm 3.44-3.68, 2 Pm 3.60-3.64, 1 Tb 3.71
Sm 0.9171 0.4138 0.5215  6 Sm 3.34-3.68, 2 Pm 3.50-3.72
Sm 0.9995 0.9995 0.6774  7 Sm 3.44-3.74, 2 Tb 3.74

=====

# Cs2ScN

Cs2ScN after structural relaxation (PBE, the Alexandria database).

Summary:
SG: I-42d
DOS(E_F): 4.88 states/eV per cell
E_form (uncorrected): 0.163 eV/f.u.

Lattice parameters (Å, degrees): 10.0429 10.0429 10.0429 92.41 92.41 156.33
Last column: nearest neighbours and their distance in Å.
Atoms (fractional coordinates):
Cs 0.3750 0.1798 0.3048  2 N 3.59, 2 Sc 3.88
Cs 0.8202 0.1250 0.1952  2 N 3.59, 2 Sc 3.88
Cs 0.8750 0.0702 0.6952  2 N 3.59, 2 Sc 3.88
Cs 0.9298 0.6250 0.8048  2 N 3.59, 2 Sc 3.88
Sc 0.2500 0.7500 0.5000  2 N 2.06
Sc 0.5000 0.5000 0.0000  2 N 2.06
N 0.0000 0.0000 0.0000  2 Sc 2.06
N 0.7500 0.2500 0.5000  2 Sc 2.06

=====

# MnSb2Se

MnSb2Se after structural relaxation (PBE, the Alexandria database).

Summary:
SG: I4/mmm
DOS(E_F): 2.54 states/eV per cell
E_form (uncorrected): 0.286 eV/f.u.

Lattice parameters (Å, degrees): 5.0660 5.0660 5.0660 110.43 110.43 107.57
Last column: nearest neighbours and their distance in Å.
Atoms (fractional coordinates):
Mn 0.0000 0.0000 0.0000  4 Sb 2.89, 2 Se 2.99
Sb 0.0000 0.5000 0.5000  2 Mn 2.89, 2 Se 2.89, 2 Sb 2.99
Sb 0.5000 0.0000 0.5000  2 Mn 2.89, 2 Se 2.89, 2 Sb 2.99
Se 0.5000 0.5000 0.0000  4 Sb 2.89, 2 Mn 2.99

=====

# LiSn2HgS4

LiSn2HgS4 after structural relaxation (PBE, the Alexandria database).

Summary:
SG: Cm
DOS(E_F): 2.32 states/eV per cell
E_form (uncorrected): -3.642 eV/f.u.

Lattice parameters (Å, degrees): 6.7709 6.7709 5.5772 114.31 114.31 108.65
Last column: nearest neighbours and their distance in Å.
Atoms (fractional coordinates):
Li 0.0000 0.0000 0.0000  6 S 2.67-2.80
Sn 0.2507 0.7511 0.5019  6 S 2.75-2.80
Sn 0.7511 0.2507 0.5019  6 S 2.75-2.80
Hg 0.5005 0.5005 0.0014  6 S 2.79-2.83
S 0.0008 0.0008 0.5021  2 Sn 2.75, 2 Li 2.78-2.80, 2 Hg 2.80
S 0.2438 0.7583 0.0022  1 Li 2.67, 4 Sn 2.79-2.80, 1 Hg 2.83
S 0.5011 0.5011 0.5021  2 Sn 2.75, 2 Hg 2.79, 2 Li 2.79-2.80
S 0.7583 0.2438 0.0022  1 Li 2.67, 4 Sn 2.79-2.80, 1 Hg 2.83

=====

# LaIn2GaCo

LaIn2GaCo after structural relaxation (PBE, the Alexandria database).

Summary:
SG: P4/mmm
ΔE_f: -279 meV/atom
DOS(E_F): 4.51 states/eV per cell

Lattice parameters (Å, degrees): 4.9444 4.9444 4.6762 90.00 90.00 90.00
Last column: nearest neighbours and their distance in Å.
Atoms (fractional coordinates):
La 0.0000 0.0000 0.0000  8 In 3.40, 4 Ga 3.50
In 0.0000 0.5000 0.5000  2 Co 2.47
In 0.5000 0.0000 0.5000  2 Co 2.47
Ga 0.5000 0.5000 0.0000  2 Co 2.34
Co 0.5000 0.5000 0.5000  2 Ga 2.34, 4 In 2.47

=====

# BaTaW2

BaTaW2 after structural relaxation (PBE, the Alexandria database).

Summary:
SG: P2/m
ΔE_f: 844 meV/atom
DOS(E_F): 2.81 states/eV per cell

Lattice parameters (Å, degrees): 2.9787 4.4284 7.3537 90.00 91.94 90.00
Last column: nearest neighbours and their distance in Å.
Atoms (fractional coordinates):
Ba 0.0000 0.0000 0.0000  2 Ba 2.98
Ta 0.5000 0.0000 0.5000  4 W 2.74, 2 Ta 2.98
W 0.1028 0.5000 0.3441  1 W 2.39
W 0.8972 0.5000 0.6559  1 W 2.39

=====

# CeY2Fe2

CeY2Fe2 after structural relaxation (PBE, the Alexandria database).

Summary:
SG: C2/c
ΔE_f: -44 meV/atom
DOS(E_F): 10.12 states/eV per cell

Lattice parameters (Å, degrees): 5.9100 5.9100 7.0368 95.49 95.49 61.89
Last column: nearest neighbours and their distance in Å.
Atoms (fractional coordinates):
Ce 0.0938 0.9062 0.7500  2 Fe 2.38
Ce 0.9062 0.0938 0.2500  2 Fe 2.38
Y 0.2318 0.4622 0.3499  4 Fe 2.86-2.97
Y 0.4622 0.2318 0.8499  4 Fe 2.86-2.97
Y 0.5378 0.7682 0.1501  4 Fe 2.86-2.97
Y 0.7682 0.5378 0.6501  4 Fe 2.86-2.97
Fe 0.0112 0.6819 0.9746  1 Fe 2.28, 1 Ce 2.38
Fe 0.3181 0.9888 0.5254  1 Fe 2.28, 1 Ce 2.38
Fe 0.6819 0.0112 0.4746  1 Fe 2.28, 1 Ce 2.38
Fe 0.9888 0.3181 0.0254  1 Fe 2.28, 1 Ce 2.38

=====

# RbY2CoSe

RbY2CoSe after structural relaxation (PBE, the Alexandria database).

Summary:
SG: P4/mmm
DOS(E_F): 6.24 states/eV per cell
E_form (uncorrected): 8.128 eV/f.u.

Lattice parameters (Å, degrees): 5.6213 5.6213 5.5277 90.00 90.00 90.00
Last column: nearest neighbours and their distance in Å.
Atoms (fractional coordinates):
Rb 0.0000 0.0000 0.0000  2 Se 2.76, 4 Y 2.81
Y 0.0000 0.5000 0.0000  2 Rb 2.81
Y 0.5000 0.0000 0.0000  2 Rb 2.81
Co 0.5000 0.5000 0.5000  8 Y 3.94, 4 Se 3.97
Se 0.0000 0.0000 0.5000  2 Rb 2.76

=====

# BaPdS

BaPdS after structural relaxation (PBE, the Alexandria database).

Summary:
SG: Pnma
DOS(E_F): 2.36 states/eV per cell
E_form (uncorrected): -2.833 eV/f.u.

Lattice parameters (Å, degrees): 8.6845 8.2154 4.9335 90.00 90.00 90.00
Last column: nearest neighbours and their distance in Å.
Atoms (fractional coordinates):
Ba 0.2492 0.2500 0.2489  4 S 3.23-3.24, 4 Pd 3.28-3.30
Ba 0.2508 0.7500 0.7489  4 S 3.23-3.24, 4 Pd 3.28-3.30
Ba 0.7492 0.2500 0.2511  4 S 3.23-3.24, 4 Pd 3.28-3.30
Ba 0.7508 0.7500 0.7511  4 S 3.23-3.24, 4 Pd 3.28-3.30
Pd 0.9996 0.2500 0.7483  2 S 2.39
Pd 0.0004 0.7500 0.2517  2 S 2.39
Pd 0.4996 0.2500 0.7517  2 S 2.39
Pd 0.5004 0.7500 0.2483  2 S 2.39
S 0.0000 0.0000 0.5000  2 Pd 2.39
S 0.0000 0.5000 0.5000  2 Pd 2.39
S 0.5000 0.0000 0.0000  2 Pd 2.39
S 0.5000 0.5000 0.0000  2 Pd 2.39